Density functional theory data (PBE) for a relaxed structure of HgPb2Se.

Values from the calculation:
**Energy above the lowest structure with this stoichiometry**: 0.0000 eV per atom
**Energy relative to the elements, uncorrected**: -0.178 eV/atom
**V**: 29.78 Å³ per atom
**Symmetry**: No. 166

Unit cell a=8.792 b=8.792 c=8.792 alpha=26.48 beta=26.48 gamma=26.48
Element x y z (fractional)
Hg  0.750  0.750  0.750
Pb  0.994  0.994  0.994
Pb  0.506  0.506  0.506
Se  0.250  0.250  0.250